1.
Entry from Alexandria via LeMat-Bulk: a relaxed Ta2AsIr2 crystal (PBE-GGA).

Computed properties:
- energy of formation (eV/atom) = -0.31
- uncorrected energy (eV/atom) = -9.523

a b c (Å): 7.793 7.793 2.887
angles (deg): 90.00 90.00 90.00
Fractional coordinates of all 10 atoms:
Ta  0.157  0.343  0.000
Ta  0.343  0.843  0.000
Ta  0.657  0.157  0.000
Ta  0.843  0.657  0.000
As  0.000  0.000  0.500
As  0.500  0.500  0.500
Ir  0.135  0.635  0.500
Ir  0.365  0.135  0.500
Ir  0.635  0.865  0.500
Ir  0.865  0.365  0.500

---

2.
Entry from Alexandria via LeMat-Bulk: a relaxed TaAs3Ir crystal (PBE-GGA).

Computed properties:
- energy of formation (eV/atom) = 1.08
- excess energy over the best structure of this formula in the dataset (meV/atom) = 8
- uncorrected energy (eV/atom) = -5.852

a b c (Å): 4.901 4.901 4.901
angles (deg): 90.00 90.00 90.00
Fractional coordinates of all 5 atoms:
Ta  0.000  0.000  0.000
As  0.000  0.000  0.500
As  0.000  0.500  0.000
As  0.500  0.000  0.000
Ir  0.500  0.500  0.500

---

3.
Entry from Alexandria via LeMat-Bulk: a relaxed TaAsIr2 crystal (PBE-GGA).

Computed properties:
- energy of formation (eV/atom) = -0.12
- uncorrected energy (eV/atom) = -8.680

a b c (Å): 2.896 4.623 4.677
angles (deg): 90.00 90.00 90.00
Fractional coordinates of all 4 atoms:
Ta  0.000  0.000  0.000
As  0.500  0.000  0.500
Ir  0.000  0.500  0.500
Ir  0.500  0.500  0.000